1.
A plane-wave DFT calculation with PBE-GGA was carried out for a geometry-optimized BeB6H14 structure.

Cell: 8.592 8.421 12.863 Å, 90.00 123.98 90.00°
Fractional positions:
Be1 0.021 0.171 0.178
Be2 0.021 0.329 0.678
Be3 0.979 0.671 0.322
Be4 0.979 0.829 0.822
B1 0.102 0.245 0.573
B2 0.102 0.255 0.073
B3 0.212 0.599 0.354
B4 0.212 0.901 0.854
B5 0.249 0.104 0.180
B6 0.249 0.396 0.680
B7 0.273 0.127 0.326
B8 0.273 0.373 0.826
B9 0.349 0.232 0.657
B10 0.349 0.268 0.157
B11 0.450 0.191 0.306
B12 0.450 0.309 0.806
B13 0.550 0.691 0.194
B14 0.550 0.809 0.694
B15 0.651 0.732 0.843
B16 0.651 0.768 0.343
B17 0.727 0.627 0.174
B18 0.727 0.873 0.674
B19 0.751 0.604 0.320
B20 0.751 0.896 0.820
B21 0.788 0.099 0.146
B22 0.788 0.401 0.646
B23 0.898 0.745 0.927
B24 0.898 0.755 0.427
H1 0.003 0.175 0.602
H2 0.003 0.325 0.102
H3 0.019 0.241 0.962
H4 0.019 0.259 0.462
H5 0.103 0.522 0.372
H6 0.103 0.978 0.872
H7 0.150 0.738 0.322
H8 0.150 0.762 0.822
H9 0.153 0.216 0.321
H10 0.153 0.284 0.821
H11 0.208 0.540 0.267
H12 0.208 0.960 0.767
H13 0.216 0.120 0.605
H14 0.216 0.380 0.105
H15 0.259 0.524 0.644
H16 0.259 0.976 0.144
H17 0.311 0.019 0.397
H18 0.311 0.481 0.897
H19 0.361 0.605 0.453
H20 0.361 0.895 0.953
H21 0.393 0.644 0.134
H22 0.393 0.856 0.634
H23 0.408 0.235 0.389
H24 0.408 0.265 0.889
H25 0.434 0.225 0.609
H26 0.434 0.275 0.109
H27 0.450 0.159 0.769
H28 0.450 0.341 0.269
H29 0.550 0.659 0.731
H30 0.550 0.841 0.231
H31 0.566 0.725 0.891
H32 0.566 0.775 0.391
H33 0.592 0.735 0.111
H34 0.592 0.765 0.611
H35 0.607 0.144 0.366
H36 0.607 0.356 0.866
H37 0.639 0.105 0.047
H38 0.639 0.395 0.547
H39 0.689 0.519 0.103
H40 0.689 0.981 0.603
H41 0.741 0.024 0.856
H42 0.741 0.476 0.356
H43 0.784 0.620 0.895
H44 0.784 0.880 0.395
H45 0.792 0.040 0.233
H46 0.792 0.460 0.733
H47 0.847 0.716 0.179
H48 0.847 0.784 0.679
H49 0.850 0.238 0.178
H50 0.850 0.262 0.678
H51 0.897 0.022 0.128
H52 0.897 0.478 0.628
H53 0.981 0.741 0.538
H54 0.981 0.759 0.038
H55 0.997 0.675 0.898
H56 0.997 0.825 0.398

Computed properties:
DFT total energy, eV per formula unit: -92.958

2.
A plane-wave DFT calculation with PBE-GGA was carried out for a geometry-optimized InSi3N structure.

Cell: 5.051 5.051 5.051 Å, 90.00 90.00 90.00°
Fractional positions:
In1 0.000 0.000 0.000
Si1 0.000 0.000 0.500
Si2 0.000 0.500 0.000
Si3 0.500 0.000 0.000
N1 0.500 0.500 0.500

Computed properties:
Energy relative to the elements, uncorrected, eV/atom: 2.4053
ΔE to the lowest computed polymorph, meV per atom: 1721

Number 1: DOS at the Fermi energy 0.000 states/eV per atom. Number 2: DOS at the Fermi energy 0.589 states/eV per atom.